No. 1
The following is a GGA-PBEsol calculation of crystalline TcSb3Pb at its relaxed geometry, from Alexandria via LeMat-Bulk.

Unit cell a=5.581 b=5.581 c=5.581 alpha=90.00 beta=90.00 gamma=90.00
Last column: magnetic moment on the atom in μB.
Element x y z (fractional)
Pb (0.000, 0.000, 0.000)  -0.01
Sb (0.000, 0.500, 0.000)  -0.11
Sb (0.000, 0.000, 0.500)  -0.11
Sb (0.500, 0.000, 0.000)  -0.11
Tc (0.500, 0.500, 0.500)  3.76

Output
E_form (uncorrected) in eV per atom: 1.87
Density of states at the Fermi level in states/eV/f.u.: 5.029
Total DFT energy (no corrections) in eV/cell: -19.605
Spin magnetization in Bohr magnetons per cell: 3.49


No. 2
The following is a GGA-PBEsol calculation of crystalline SbTePb2 at its relaxed geometry, from Alexandria via LeMat-Bulk.

Unit cell a=3.798 b=5.418 c=5.509 alpha=90.00 beta=90.00 gamma=90.00
Element x y z (fractional)
Pb (0.000, 0.000, 0.000)
Pb (0.500, 0.500, 0.000)
Sb (0.500, 0.000, 0.500)
Te (0.000, 0.500, 0.500)

Output
E_form (uncorrected) in eV per atom: 0.03
Density of states at the Fermi level in states/eV/f.u.: 2.101
Offset from the most stable computed form in kJ per mole of atoms: 13.2
Total DFT energy (no corrections) in eV/cell: -15.974
Spin magnetization in Bohr magnetons per cell: 0.00


No. 3
The following is a GGA-PBEsol calculation of crystalline SbTePb2 at its relaxed geometry, from Alexandria via LeMat-Bulk.

Unit cell a=4.463 b=4.463 c=6.378 alpha=90.00 beta=90.00 gamma=90.00
Element x y z (fractional)
Pb (0.000, 0.000, 0.877)
Pb (0.500, 0.500, 0.374)
Sb (0.000, 0.000, 0.376)
Te (0.500, 0.500, 0.874)

Output
E_form (uncorrected) in eV per atom: -0.11
Density of states at the Fermi level in states/eV/f.u.: 2.687
Offset from the most stable computed form in kJ per mole of atoms: 0.0
Total DFT energy (no corrections) in eV/cell: -16.520
Spin magnetization in Bohr magnetons per cell: 0.00


No. 4
The following is a GGA-PBEsol calculation of crystalline SbTePb at its relaxed geometry, from Alexandria via LeMat-Bulk.

Unit cell a=5.223 b=5.223 c=5.223 alpha=60.00 beta=60.00 gamma=60.00
Element x y z (fractional)
Pb (0.000, 0.000, 0.000)
Sb (0.500, 0.500, 0.500)
Te (0.250, 0.250, 0.250)

Output
E_form (uncorrected) in eV per atom: 0.28
Density of states at the Fermi level in states/eV/f.u.: 2.064
Total DFT energy (no corrections) in eV/cell: -11.247
Spin magnetization in Bohr magnetons per cell: 0.00


No. 5
The following is a GGA-PBEsol calculation of crystalline TiSbTe2Pb at its relaxed geometry, from Alexandria via LeMat-Bulk.

Unit cell a=5.559 b=5.698 c=5.698 alpha=90.00 beta=90.00 gamma=90.00
Last column: magnetic moment on the atom in μB.
Element x y z (fractional)
Pb (0.000, 0.000, 0.000)  0.01
Sb (0.500, 0.000, 0.000)  -0.14
Te (0.000, 0.000, 0.500)  -0.09
Te (0.000, 0.500, 0.000)  -0.09
Ti (0.500, 0.500, 0.500)  1.84

Output
E_form (uncorrected) in eV per atom: 1.05
Density of states at the Fermi level in states/eV/f.u.: 8.388
Total DFT energy (no corrections) in eV/cell: -18.667
Spin magnetization in Bohr magnetons per cell: 1.71


No. 6
The following is a GGA-PBEsol calculation of crystalline ZnSbTe2Pb at its relaxed geometry, from Alexandria via LeMat-Bulk.

Unit cell a=5.092 b=5.313 c=5.313 alpha=90.00 beta=90.00 gamma=90.00
Element x y z (fractional)
Pb (0.500, 0.500, 0.500)
Sb (0.500, 0.000, 0.000)
Zn (0.000, 0.000, 0.000)
Te (0.000, 0.000, 0.500)
Te (0.000, 0.500, 0.000)

Output
E_form (uncorrected) in eV per atom: 0.25
Density of states at the Fermi level in states/eV/f.u.: 3.446
Total DFT energy (no corrections) in eV/cell: -15.953
Spin magnetization in Bohr magnetons per cell: 0.00


No. 7
The following is a GGA-PBEsol calculation of crystalline TiSb3Pb at its relaxed geometry, from Alexandria via LeMat-Bulk.

Unit cell a=5.580 b=5.580 c=5.580 alpha=90.00 beta=90.00 gamma=90.00
Last column: magnetic moment on the atom in μB.
Element x y z (fractional)
Pb (0.000, 0.000, 0.000)  0.01
Sb (0.000, 0.500, 0.000)  -0.05
Sb (0.000, 0.000, 0.500)  -0.05
Sb (0.500, 0.000, 0.000)  -0.05
Ti (0.500, 0.500, 0.500)  1.79

Output
E_form (uncorrected) in eV per atom: 1.30
Density of states at the Fermi level in states/eV/f.u.: 10.856
Total DFT energy (no corrections) in eV/cell: -19.487
Spin magnetization in Bohr magnetons per cell: 1.99


No. 8
The following is a GGA-PBEsol calculation of crystalline TiZnSbPb2 at its relaxed geometry, from Alexandria via LeMat-Bulk.

Unit cell a=5.150 b=5.347 c=5.347 alpha=90.00 beta=90.00 gamma=90.00
Element x y z (fractional)
Pb (0.000, 0.000, 0.500)
Pb (0.000, 0.500, 0.000)
Sb (0.500, 0.000, 0.000)
Zn (0.500, 0.500, 0.500)
Ti (0.000, 0.000, 0.000)

Output
E_form (uncorrected) in eV per atom: 0.33
Density of states at the Fermi level in states/eV/f.u.: 2.139
Total DFT energy (no corrections) in eV/cell: -20.821
Spin magnetization in Bohr magnetons per cell: 0.00


No. 9
The following is a GGA-PBEsol calculation of crystalline Tl2Sb2Pb at its relaxed geometry, from Alexandria via LeMat-Bulk.

Unit cell a=4.893 b=7.979 c=7.979 alpha=90.00 beta=90.00 gamma=90.00
Element x y z (fractional)
Pb (0.000, 0.000, 0.000)
Pb (0.000, 0.500, 0.500)
Sb (0.000, 0.374, 0.874)
Sb (0.000, 0.874, 0.626)
Sb (0.000, 0.626, 0.126)
Sb (0.000, 0.126, 0.374)
Tl (0.500, 0.176, 0.676)
Tl (0.500, 0.676, 0.824)
Tl (0.500, 0.824, 0.324)
Tl (0.500, 0.324, 0.176)

Output
E_form (uncorrected) in eV per atom: 0.06
Density of states at the Fermi level in states/eV/f.u.: 2.142
Total DFT energy (no corrections) in eV/cell: -36.169
Spin magnetization in Bohr magnetons per cell: 0.00


No. 10
The following is a GGA-PBEsol calculation of crystalline TlSb3Pb at its relaxed geometry, from Alexandria via LeMat-Bulk.

Unit cell a=5.724 b=5.724 c=5.724 alpha=90.00 beta=90.00 gamma=90.00
Element x y z (fractional)
Pb (0.000, 0.000, 0.000)
Sb (0.000, 0.500, 0.000)
Sb (0.000, 0.000, 0.500)
Sb (0.500, 0.000, 0.000)
Tl (0.500, 0.500, 0.500)

Output
E_form (uncorrected) in eV per atom: 0.77
Density of states at the Fermi level in states/eV/f.u.: 4.965
Total DFT energy (no corrections) in eV/cell: -16.431
Spin magnetization in Bohr magnetons per cell: 0.00


No. 11
The following is a GGA-PBEsol calculation of crystalline SbPb2W at its relaxed geometry, from Alexandria via LeMat-Bulk.

Unit cell a=3.373 b=3.373 c=8.314 alpha=90.00 beta=90.00 gamma=90.00
Element x y z (fractional)
Pb (0.000, 0.000, 0.956)
Pb (0.500, 0.500, 0.270)
Sb (0.000, 0.000, 0.553)
W (0.500, 0.500, 0.721)

Output
E_form (uncorrected) in eV per atom: 0.45
Density of states at the Fermi level in states/eV/f.u.: 2.847
Total DFT energy (no corrections) in eV/cell: -24.549
Spin magnetization in Bohr magnetons per cell: 0.00


No. 12
The following is a GGA-PBEsol calculation of crystalline SbPb2W at its relaxed geometry, from Alexandria via LeMat-Bulk.

Unit cell a=3.233 b=5.087 c=7.165 alpha=108.81 beta=90.00 gamma=108.53
Element x y z (fractional)
Pb (0.081, 0.162, 0.019)
Pb (0.263, 0.526, 0.731)
Sb (0.438, 0.876, 0.373)
W (0.718, 0.436, 0.377)

Output
E_form (uncorrected) in eV per atom: 0.51
Density of states at the Fermi level in states/eV/f.u.: 1.802
Total DFT energy (no corrections) in eV/cell: -24.337
Spin magnetization in Bohr magnetons per cell: 0.00


No. 13
The following is a GGA-PBEsol calculation of crystalline SbPb2W at its relaxed geometry, from Alexandria via LeMat-Bulk.

Unit cell a=3.112 b=5.417 c=5.682 alpha=90.00 beta=95.43 gamma=90.00
Element x y z (fractional)
Pb (0.791, 0.000, 0.740)
Pb (0.209, 0.000, 0.260)
Sb (0.500, 0.500, 0.000)
W (0.500, 0.500, 0.500)

Output
E_form (uncorrected) in eV per atom: 0.89
Density of states at the Fermi level in states/eV/f.u.: 3.593
Total DFT energy (no corrections) in eV/cell: -22.821
Spin magnetization in Bohr magnetons per cell: 0.00


No. 14
The following is a GGA-PBEsol calculation of crystalline YSb2Pb at its relaxed geometry, from Alexandria via LeMat-Bulk.

Unit cell a=3.593 b=3.593 c=8.756 alpha=90.00 beta=90.00 gamma=101.56
Element x y z (fractional)
Pb (0.500, 0.500, 0.000)
Sb (0.000, 0.000, 0.270)
Sb (0.000, 0.000, 0.730)
Y (0.500, 0.500, 0.500)

Output
E_form (uncorrected) in eV per atom: -0.41
Density of states at the Fermi level in states/eV/f.u.: 2.311
Total DFT energy (no corrections) in eV/cell: -21.568
Spin magnetization in Bohr magnetons per cell: 0.00


No. 15
The following is a GGA-PBEsol calculation of crystalline YSb2Pb at its relaxed geometry, from Alexandria via LeMat-Bulk.

Unit cell a=4.034 b=5.231 c=5.231 alpha=102.64 beta=90.00 gamma=90.00
Element x y z (fractional)
Pb (0.500, 0.500, 0.500)
Sb (0.000, 0.500, 0.000)
Sb (0.000, 0.000, 0.500)
Y (0.500, 0.000, 0.000)

Output
E_form (uncorrected) in eV per atom: -0.48
Density of states at the Fermi level in states/eV/f.u.: 2.010
Total DFT energy (no corrections) in eV/cell: -21.870
Spin magnetization in Bohr magnetons per cell: 0.00


No. 16
The following is a GGA-PBEsol calculation of crystalline YSbPb2 at its relaxed geometry, from Alexandria via LeMat-Bulk.

Unit cell a=3.420 b=5.459 c=5.979 alpha=90.00 beta=90.00 gamma=90.00
Element x y z (fractional)
Pb (0.229, 0.254, 0.000)
Pb (0.771, 0.746, 0.000)
Sb (0.000, 0.000, 0.500)
Y (0.500, 0.500, 0.500)

Output
E_form (uncorrected) in eV per atom: -0.27
Density of states at the Fermi level in states/eV/f.u.: 2.646
Total DFT energy (no corrections) in eV/cell: -20.469
Spin magnetization in Bohr magnetons per cell: 0.00


No. 17
The following is a GGA-PBEsol calculation of crystalline Y2SbPb at its relaxed geometry, from Alexandria via LeMat-Bulk.

Unit cell a=4.182 b=4.182 c=8.050 alpha=74.94 beta=74.94 gamma=60.00
Element x y z (fractional)
Pb (0.500, 0.500, 0.500)
Sb (0.000, 0.000, 0.000)
Y (0.255, 0.255, 0.236)
Y (0.745, 0.745, 0.764)

Output
E_form (uncorrected) in eV per atom: -0.82
Density of states at the Fermi level in states/eV/f.u.: 1.802
Offset from the most stable computed form in kJ per mole of atoms: 0.0
Total DFT energy (no corrections) in eV/cell: -25.478
Spin magnetization in Bohr magnetons per cell: 0.00


No. 18
The following is a GGA-PBEsol calculation of crystalline YSb2Pb2 at its relaxed geometry, from Alexandria via LeMat-Bulk.

Unit cell a=4.276 b=4.276 c=8.737 alpha=104.17 beta=104.17 gamma=90.00
Element x y z (fractional)
Pb (0.408, 0.408, 0.816)
Pb (0.592, 0.592, 0.184)
Sb (0.250, 0.750, 0.500)
Sb (0.750, 0.250, 0.500)
Y (0.000, 0.000, 0.000)

Output
E_form (uncorrected) in eV per atom: 0.04
Density of states at the Fermi level in states/eV/f.u.: 2.728
Total DFT energy (no corrections) in eV/cell: -23.739
Spin magnetization in Bohr magnetons per cell: 0.00


No. 19
The following is a GGA-PBEsol calculation of crystalline Y2SbPb at its relaxed geometry, from Alexandria via LeMat-Bulk.

Unit cell a=4.354 b=4.350 c=6.150 alpha=90.00 beta=90.00 gamma=90.00
Element x y z (fractional)
Pb (0.000, 0.000, 0.500)
Sb (0.500, 0.500, 0.000)
Y (0.000, 0.000, 0.000)
Y (0.500, 0.500, 0.500)

Output
E_form (uncorrected) in eV per atom: -0.79
Density of states at the Fermi level in states/eV/f.u.: 2.266
Offset from the most stable computed form in kJ per mole of atoms: 2.4
Total DFT energy (no corrections) in eV/cell: -25.377
Spin magnetization in Bohr magnetons per cell: 0.00


No. 20
The following is a GGA-PBEsol calculation of crystalline YSbPb2 at its relaxed geometry, from Alexandria via LeMat-Bulk.

Unit cell a=3.538 b=3.538 c=8.946 alpha=90.00 beta=90.00 gamma=90.00
Element x y z (fractional)
Pb (0.000, 0.000, 0.990)
Pb (0.500, 0.500, 0.251)
Sb (0.000, 0.000, 0.519)
Y (0.500, 0.500, 0.740)

Output
E_form (uncorrected) in eV per atom: -0.27
Density of states at the Fermi level in states/eV/f.u.: 2.938
Total DFT energy (no corrections) in eV/cell: -20.474
Spin magnetization in Bohr magnetons per cell: 0.00